Material: Ir2Ru
Method: DFT, PBE
State: relaxed

Output
As for the density of states at the Fermi level: 1.261 states/eV/atom. The total energy is -8.506 eV per atom. The formation energy from the elements is 493.1 meV/atom. Its energy above the lowest structure with this stoichiometry is 528 meV per atom.

Cell lengths 5.9522, 5.9522, 5.2128 Å; angles 90.00, 90.00, 90.00 degrees
Last column: nearest neighbours and their distance in Å.
Space group I4/mcm (No. 140)
Symmetry-distinct sites (fractional):
1 Ir 0.1433 0.3567 0.0000 (multiplicity 8)  1 Ir 2.41, 4 Ru 2.63
2 Ru 0.0000 0.0000 0.2500 (multiplicity 4)  2 Ru 2.61, 8 Ir 2.63